# 1
DFT (PBE) results for a relaxed structure of Sr2Tl6InAg.

Summary:
The value obtained for the size of the total moment is 0.00 μB per cell. The energy of formation from the pure elements is -0.064 eV/atom.

a b c (Å): 13.512 13.512 13.512
angles (deg): 33.35 33.35 33.35
Sites, in units of the cell vectors:
Sr  0.106  0.106  0.106
Sr  0.282  0.282  0.282
Sr  0.718  0.718  0.718
Sr  0.894  0.894  0.894
Tl  0.074  0.664  0.664
Tl  0.221  0.221  0.654
Tl  0.221  0.654  0.221
Tl  0.336  0.336  0.926
Tl  0.336  0.926  0.336
Tl  0.346  0.779  0.779
Tl  0.654  0.221  0.221
Tl  0.664  0.074  0.664
Tl  0.664  0.664  0.074
Tl  0.779  0.346  0.779
Tl  0.779  0.779  0.346
Tl  0.926  0.336  0.336
In  0.426  0.426  0.426
In  0.574  0.574  0.574
Ag  0.000  0.000  0.000
Ag  0.500  0.500  0.500

***

# 2
DFT (PBE) results for a relaxed structure of Sr3Tl2InAg6.

Summary:
The value obtained for the size of the total moment is 0.00 μB per cell. The energy of formation from the pure elements is -0.201 eV/atom.

a b c (Å): 6.176 6.176 9.566
angles (deg): 90.00 90.00 120.00
Sites, in units of the cell vectors:
Sr  0.000  0.000  0.000
Sr  0.333  0.667  0.603
Sr  0.667  0.333  0.397
Tl  0.333  0.667  0.982
Tl  0.667  0.333  0.018
In  0.000  0.000  0.500
Ag  0.178  0.356  0.273
Ag  0.178  0.822  0.273
Ag  0.356  0.178  0.727
Ag  0.644  0.822  0.273
Ag  0.822  0.178  0.727
Ag  0.822  0.644  0.727

***

# 3
DFT (PBE) results for a relaxed structure of SrTlInAg.

Summary:
The value obtained for the size of the total moment is 0.00 μB per cell. The energy of formation from the pure elements is -0.231 eV/atom.

a b c (Å): 5.339 5.339 5.339
angles (deg): 60.00 60.00 60.00
Sites, in units of the cell vectors:
Sr  0.000  0.000  0.000
Tl  0.750  0.750  0.750
In  0.500  0.500  0.500
Ag  0.250  0.250  0.250

***

Here are the calculated raw total energy numbers, same order: -2.38, -2.67, -2.64 (eV/atom).